[1]
A plane-wave DFT calculation with PBE was carried out for crystalline Ce2Sn3Pd5 at its relaxed geometry.

Cell and atoms, written as POSCAR:
```
Ce2Sn3Pd5
1.0
2.190 -12.618 0.000
2.190 12.618 0.000
0.000 0.000 7.503
Ce Sn Pd
4 6 10
direct
0.017 0.983 0.500
0.319 0.681 0.448
0.681 0.319 0.948
0.983 0.017 0.000
0.106 0.894 0.793
0.292 0.708 0.884
0.435 0.565 0.692
0.565 0.435 0.192
0.708 0.292 0.384
0.894 0.106 0.293
0.123 0.877 0.286
0.200 0.800 0.611
0.232 0.768 0.186
0.387 0.613 0.045
0.461 0.539 0.320
0.539 0.461 0.820
0.613 0.387 0.545
0.768 0.232 0.686
0.800 0.200 0.111
0.877 0.123 0.786
```

V = 414.6 Å³/cell
energy relative to the elements = -0.7016 eV/atom
D(E_F) = 10.91 states/eV/f.u.
final energy = -5.69 eV per atom
total magnetic moment = 1.047 μB per formula unit

[2]
A plane-wave DFT calculation with PBE was carried out for crystalline Pr2Be3Ge4Pt at its relaxed geometry.

Cell and atoms, written as POSCAR:
```
Pr2Be3Ge4Pt
1.0
4.146 0.000 0.000
0.000 4.146 0.000
0.000 0.000 10.072
Pr Be Ge Pt
2 3 4 1
direct
0.000 0.500 0.250
0.500 0.000 0.750
0.000 0.000 0.000
0.000 0.500 0.629
0.500 0.000 0.371
0.000 0.000 0.500
0.000 0.500 0.859
0.500 0.000 0.141
0.500 0.500 0.500
0.500 0.500 0.000
```

V = 173.1 Å³/cell
energy relative to the elements = -0.5069 eV/atom
D(E_F) = 1.88 states/eV/f.u.
final energy = -5.03 eV per atom
total magnetic moment = 0.000 μB per formula unit

[3]
A plane-wave DFT calculation with PBE was carried out for crystalline InP at its relaxed geometry.

Cell and atoms, written as POSCAR:
```
InP
1.0
10.220 0.000 0.000
-5.110 8.851 0.000
0.000 0.000 4.290
In P
6 6
direct
0.078 0.667 0.250
0.333 0.412 0.250
0.412 0.078 0.750
0.588 0.922 0.250
0.667 0.588 0.750
0.922 0.333 0.750
0.085 0.411 0.250
0.327 0.915 0.250
0.411 0.327 0.750
0.589 0.673 0.250
0.673 0.085 0.750
0.915 0.589 0.750
```

V = 388.1 Å³/cell
energy relative to the elements = -0.0762 eV/atom
final energy = -4.15 eV per atom
total magnetic moment = 0.000 μB per formula unit

[4]
A plane-wave DFT calculation with PBE was carried out for crystalline BaAcS2Br at its relaxed geometry.

Cell and atoms, written as POSCAR:
```
BaAcS2Br
1.0
5.500 0.000 0.000
0.000 5.500 0.000
0.000 0.000 6.962
Ba Ac S Br
1 1 2 1
direct
0.000 0.000 0.000
0.500 0.500 0.332
0.000 0.500 0.206
0.500 0.000 0.206
0.500 0.500 0.771
```

V = 210.6 Å³/cell
D(E_F) = 0.00 states/eV/f.u.
final energy = -5.20 eV per atom
total magnetic moment = 0.000 μB per formula unit
ΔE_f (raw) = -2.01 eV per atom

[5]
A plane-wave DFT calculation with PBE was carried out for crystalline MgTaNi3 at its relaxed geometry.

Cell and atoms, written as POSCAR:
```
MgTaNi3
1.0
4.563 0.000 0.000
0.000 4.563 0.000
0.000 0.000 4.563
Mg Ta Ni
1 1 3
direct
0.000 0.000 0.000
0.500 0.500 0.500
0.000 0.500 0.500
0.500 0.000 0.500
0.500 0.500 0.000
```

V = 95.0 Å³/cell
energy relative to the elements = 0.9210 eV/atom
D(E_F) = 4.28 states/eV/f.u.
energy above the most stable polymorph in this dataset = 999 meV/atom
final energy = -5.24 eV per atom
total magnetic moment = 0.000 μB per formula unit

[6]
A plane-wave DFT calculation with PBE was carried out for crystalline Tl2SbPb8 at its relaxed geometry.

Cell and atoms, written as POSCAR:
```
Tl2SbPb8
1.0
9.265 -2.347 0.000
9.265 2.347 0.000
-1.994 0.000 7.899
Tl Sb Pb
2 1 8
direct
0.229 0.229 0.136
0.771 0.771 0.864
0.500 0.500 0.500
0.043 0.043 0.232
0.131 0.131 0.671
0.317 0.317 0.593
0.410 0.410 0.040
0.590 0.590 0.960
0.683 0.683 0.407
0.869 0.869 0.329
0.957 0.957 0.768
```

V = 343.5 Å³/cell
D(E_F) = 5.39 states/eV/f.u.
final energy = -3.48 eV per atom
total magnetic moment = 0.000 μB per formula unit
ΔE_f (raw) = 0.02 eV per atom

[7]
A plane-wave DFT calculation with PBE was carried out for crystalline CaIrW2 at its relaxed geometry.

Cell and atoms, written as POSCAR:
```
CaIrW2
1.0
-1.528 2.500 4.752
1.528 -2.500 4.752
1.528 2.500 -4.752
Ca Ir W
1 1 2
direct
0.000 0.000 0.000
0.729 0.229 0.500
0.284 0.784 0.500
0.499 0.499 0.000
```

V = 72.6 Å³/cell
energy relative to the elements = 0.5158 eV/atom
D(E_F) = 2.45 states/eV/f.u.
energy above the most stable polymorph in this dataset = 222 meV/atom
final energy = -8.68 eV per atom
total magnetic moment = 0.000 μB per formula unit

[8]
A plane-wave DFT calculation with PBE was carried out for crystalline La2NdHgSe5 at its relaxed geometry.

Cell and atoms, written as POSCAR:
```
La2NdHgSe5
1.0
2.115 -8.928 0.000
2.115 8.928 0.000
0.000 0.000 12.978
La Nd Hg Se
4 2 2 10
direct
0.122 0.878 0.500
0.130 0.870 0.120
0.870 0.130 0.620
0.878 0.122 0.000
0.193 0.807 0.818
0.807 0.193 0.318
0.459 0.541 0.284
0.541 0.459 0.784
0.039 0.961 0.910
0.294 0.706 0.480
0.306 0.694 0.153
0.358 0.642 0.815
0.499 0.501 0.590
0.501 0.499 0.090
0.642 0.358 0.315
0.694 0.306 0.653
0.706 0.294 0.980
0.961 0.039 0.410
```

V = 490.1 Å³/cell
D(E_F) = 2.79 states/eV/f.u.
final energy = -5.15 eV per atom
total magnetic moment = 0.000 μB per formula unit
ΔE_f (raw) = -1.56 eV per atom

[9]
A plane-wave DFT calculation with PBE was carried out for crystalline Mo2Se at its relaxed geometry.

Cell and atoms, written as POSCAR:
```
Mo2Se
1.0
-1.518 1.518 5.099
1.518 -1.518 5.099
1.518 1.518 -5.099
Mo Se
2 1
direct
0.157 0.157 0.000
0.843 0.843 0.000
0.500 0.500 0.000
```

V = 47.0 Å³/cell
D(E_F) = 3.21 states/eV/f.u.
energy above the most stable polymorph in this dataset = 261 meV/atom
final energy = -8.21 eV per atom
total magnetic moment = 0.000 μB per formula unit
ΔE_f (raw) = 0.17 eV per atom

[10]
A plane-wave DFT calculation with PBE was carried out for crystalline Nd6Sm5Tm at its relaxed geometry.

Cell and atoms, written as POSCAR:
```
Nd6Sm5Tm
1.0
3.159 -5.472 0.000
3.159 5.472 0.000
-2.109 0.000 11.859
Nd Sm Tm
6 5 1
direct
0.083 0.415 0.749
0.249 0.249 0.251
0.415 0.083 0.749
0.585 0.917 0.251
0.751 0.751 0.749
0.917 0.585 0.251
0.166 0.834 0.000
0.333 0.667 0.500
0.500 0.500 0.000
0.667 0.333 0.500
0.834 0.166 0.000
0.000 0.000 0.500
```

V = 410.1 Å³/cell
energy relative to the elements = 0.0130 eV/atom
D(E_F) = 16.45 states/eV/f.u.
final energy = -4.71 eV per atom
total magnetic moment = 0.000 μB per formula unit

[11]
A plane-wave DFT calculation with PBE was carried out for crystalline Sr2Li2Nb4O13 at its relaxed geometry.

Cell and atoms, written as POSCAR:
```
Sr2Li2Nb4O13
1.0
-2.001 2.001 17.306
2.001 -2.001 17.306
2.001 2.001 -17.306
Sr Li Nb O
2 2 4 13
direct
0.116 0.116 0.000
0.884 0.884 0.000
0.250 0.750 0.500
0.750 0.250 0.500
0.322 0.322 0.000
0.444 0.444 0.000
0.556 0.556 0.000
0.678 0.678 0.000
0.062 0.562 0.500
0.172 0.672 0.500
0.267 0.267 0.000
0.328 0.828 0.500
0.383 0.383 0.000
0.438 0.938 0.500
0.500 0.500 0.000
0.562 0.062 0.500
0.617 0.617 0.000
0.672 0.172 0.500
0.733 0.733 0.000
0.828 0.328 0.500
0.938 0.438 0.500
```

V = 277.2 Å³/cell
final energy = -7.99 eV per atom
total magnetic moment = 0.000 μB per formula unit
ΔE_f (raw) = -2.66 eV per atom

[12]
A plane-wave DFT calculation with PBE was carried out for crystalline K3Ca3TcO8 at its relaxed geometry.

Cell and atoms, written as POSCAR:
```
K3Ca3TcO8
1.0
3.422 1.975 6.220
-3.422 1.975 6.220
0.000 -3.951 6.220
K Ca Tc O
3 3 1 8
direct
0.000 0.500 0.500
0.500 0.000 0.500
0.500 0.500 0.000
0.000 0.000 0.500
0.000 0.500 0.000
0.500 0.000 0.000
0.500 0.500 0.500
0.228 0.228 0.228
0.289 0.692 0.692
0.308 0.308 0.711
0.308 0.711 0.308
0.692 0.289 0.692
0.692 0.692 0.289
0.711 0.308 0.308
0.772 0.772 0.772
```

V = 252.2 Å³/cell
final energy = -6.02 eV per atom
total magnetic moment = 0.000 μB per formula unit
ΔE_f (raw) = -2.07 eV per atom

[13]
A plane-wave DFT calculation with PBE was carried out for crystalline VHg2As2 at its relaxed geometry.

Cell and atoms, written as POSCAR:
```
VHg2As2
1.0
-1.810 1.810 8.704
1.810 -1.810 8.704
1.810 1.810 -8.704
V Hg As
1 2 2
direct
0.000 0.000 0.000
0.407 0.407 0.000
0.593 0.593 0.000
0.250 0.750 0.500
0.750 0.250 0.500
```

V = 114.0 Å³/cell
energy relative to the elements = 0.4836 eV/atom
D(E_F) = 3.98 states/eV/f.u.
energy above the most stable polymorph in this dataset = 339 meV/atom
final energy = -3.32 eV per atom
total magnetic moment = 3.563 μB per formula unit

[14]
A plane-wave DFT calculation with PBE was carried out for crystalline Mn3CrCo4 at its relaxed geometry.

Cell and atoms, written as POSCAR:
```
Mn3CrCo4
1.0
-2.018 2.018 5.712
2.018 -2.018 5.712
2.018 2.018 -5.712
Mn Cr Co
3 1 4
direct
0.000 0.000 0.000
0.250 0.250 0.000
0.750 0.750 0.000
0.500 0.500 0.000
0.122 0.622 0.500
0.378 0.878 0.500
0.622 0.122 0.500
0.878 0.378 0.500
```

V = 93.1 Å³/cell
energy relative to the elements = 0.0373 eV/atom
D(E_F) = 6.87 states/eV/f.u.
final energy = -8.16 eV per atom
total magnetic moment = 14.876 μB per formula unit

[15]
A plane-wave DFT calculation with PBE was carried out for crystalline YThAl2 at its relaxed geometry.

Cell and atoms, written as POSCAR:
```
YThAl2
1.0
3.445 0.000 0.000
0.000 3.445 0.000
0.000 0.000 8.268
Y Th Al
1 1 2
direct
0.000 0.000 0.000
0.000 0.000 0.500
0.500 0.500 0.241
0.500 0.500 0.759
```

V = 98.1 Å³/cell
energy relative to the elements = -0.3253 eV/atom
D(E_F) = 2.72 states/eV/f.u.
energy above the most stable polymorph in this dataset = 37 meV/atom
final energy = -5.67 eV per atom
total magnetic moment = 0.000 μB per formula unit

[16]
A plane-wave DFT calculation with PBE was carried out for crystalline Y2BeCo2 at its relaxed geometry.

Cell and atoms, written as POSCAR:
```
Y2BeCo2
1.0
-1.853 2.763 4.187
1.853 -2.763 4.187
1.853 2.763 -4.187
Y Be Co
2 1 2
direct
0.195 0.195 0.000
0.805 0.805 0.000
0.500 0.000 0.500
0.267 0.500 0.767
0.733 0.500 0.233
```

V = 85.7 Å³/cell
energy relative to the elements = -0.1987 eV/atom
D(E_F) = 4.12 states/eV/f.u.
energy above the most stable polymorph in this dataset = 0 meV/atom
final energy = -6.37 eV per atom
total magnetic moment = 0.000 μB per formula unit

[17]
A plane-wave DFT calculation with PBE was carried out for crystalline Re3NiPd at its relaxed geometry.

Cell and atoms, written as POSCAR:
```
Re3NiPd
1.0
4.651 0.000 0.000
0.000 4.651 0.000
0.000 0.000 4.651
Re Ni Pd
3 1 1
direct
0.000 0.000 0.500
0.000 0.500 0.000
0.500 0.000 0.000
0.500 0.500 0.500
0.000 0.000 0.000
```

V = 100.6 Å³/cell
energy relative to the elements = 2.8415 eV/atom
D(E_F) = 5.21 states/eV/f.u.
energy above the most stable polymorph in this dataset = 1173 meV/atom
final energy = -6.82 eV per atom
total magnetic moment = 0.000 μB per formula unit

[18]
A plane-wave DFT calculation with PBE was carried out for crystalline Gd2YSb at its relaxed geometry.

Cell and atoms, written as POSCAR:
```
Gd2YSb
1.0
0.000 3.855 3.855
3.855 0.000 3.855
3.855 3.855 0.000
Gd Y Sb
2 1 1
direct
0.250 0.250 0.250
0.750 0.750 0.750
0.000 0.000 0.000
0.500 0.500 0.500
```

V = 114.5 Å³/cell
D(E_F) = 5.93 states/eV/f.u.
energy above the most stable polymorph in this dataset = 252 meV/atom
final energy = -9.96 eV per atom
total magnetic moment = 15.139 μB per formula unit
ΔE_f (raw) = -0.27 eV per atom

[19]
A plane-wave DFT calculation with PBE was carried out for crystalline NaMgPH2 at its relaxed geometry.

Cell and atoms, written as POSCAR:
```
NaMgPH2
1.0
4.007 0.000 0.000
0.000 4.007 0.000
0.000 0.000 4.986
Na Mg P H
1 1 1 2
direct
0.000 0.000 0.000
0.500 0.500 0.000
0.500 0.500 0.500
0.000 0.500 0.500
0.500 0.000 0.500
```

V = 80.1 Å³/cell
D(E_F) = 1.74 states/eV/f.u.
final energy = -2.53 eV per atom
total magnetic moment = 0.000 μB per formula unit

[20]
A plane-wave DFT calculation with PBE was carried out for crystalline Ba2Al12AgPd3 at its relaxed geometry.

Cell and atoms, written as POSCAR:
```
Ba2Al12AgPd3
1.0
4.686 2.705 6.147
-4.686 2.705 6.147
0.000 -5.411 6.147
Ba Al Ag Pd
2 12 1 3
direct
0.102 0.102 0.102
0.898 0.898 0.898
0.150 0.628 0.628
0.268 0.268 0.600
0.268 0.600 0.268
0.372 0.372 0.850
0.372 0.850 0.372
0.400 0.732 0.732
0.600 0.268 0.268
0.628 0.150 0.628
0.628 0.628 0.150
0.732 0.400 0.732
0.732 0.732 0.400
0.850 0.372 0.372
0.500 0.500 0.500
0.000 0.500 0.500
0.500 0.000 0.500
0.500 0.500 0.000
```

V = 467.5 Å³/cell
energy relative to the elements = -0.0568 eV/atom
D(E_F) = 8.36 states/eV/f.u.
final energy = -3.79 eV per atom
total magnetic moment = 0.000 μB per formula unit

[21]
A plane-wave DFT calculation with PBE was carried out for crystalline GdPuRuPb at its relaxed geometry.

Cell and atoms, written as POSCAR:
```
GdPuRuPb
1.0
0.000 3.643 3.643
3.643 0.000 3.643
3.643 3.643 0.000
Gd Pu Ru Pb
1 1 1 1
direct
0.000 0.000 0.000
0.500 0.500 0.500
0.750 0.750 0.750
0.250 0.250 0.250
```

V = 96.7 Å³/cell
energy relative to the elements = -0.0314 eV/atom
D(E_F) = 8.37 states/eV/f.u.
final energy = -10.38 eV per atom
total magnetic moment = 11.983 μB per formula unit

[22]
A plane-wave DFT calculation with PBE was carried out for crystalline CaLa2Th at its relaxed geometry.

Cell and atoms, written as POSCAR:
```
CaLa2Th
1.0
1.843 1.064 12.448
-1.843 1.064 12.448
0.000 -2.128 12.448
Ca La Th
1 2 1
direct
0.000 0.000 0.000
0.244 0.244 0.244
0.756 0.756 0.756
0.500 0.500 0.500
```

V = 146.5 Å³/cell
energy relative to the elements = 0.0323 eV/atom
D(E_F) = 5.48 states/eV/f.u.
energy above the most stable polymorph in this dataset = 13 meV/atom
final energy = -4.79 eV per atom
total magnetic moment = 0.000 μB per formula unit

[23]
A plane-wave DFT calculation with PBE was carried out for crystalline NaUBi2S6 at its relaxed geometry.

Cell and atoms, written as POSCAR:
```
NaUBi2S6
1.0
3.521 2.033 6.258
-3.521 2.033 6.258
0.000 -4.065 6.258
Na U Bi S
1 1 2 6
direct
0.000 0.000 0.000
0.512 0.512 0.512
0.198 0.198 0.198
0.706 0.706 0.706
0.137 0.773 0.407
0.313 0.599 0.892
0.407 0.137 0.773
0.599 0.892 0.313
0.773 0.407 0.137
0.892 0.313 0.599
```

V = 268.7 Å³/cell
final energy = -5.32 eV per atom
total magnetic moment = 1.005 μB per formula unit
ΔE_f (raw) = -0.80 eV per atom